1.
VASP calculation (PBE) on a geometry-optimized InAsN structure.

Values from the calculation:
Space-group type   C2/m
Formation energy without anion corrections   367 meV per atom
D(E_F)   0.26 states/eV/atom

Lattice parameters (Å, degrees): 3.8773 3.8773 11.6698 100.50 100.50 44.81
With the nearest neighbours (Å) after each atom.
Element x y z (fractional)
In (0.0823, 0.0823, 0.3730)  1 N 2.33
In (0.9177, 0.9177, 0.6270)  1 N 2.33
As (0.3619, 0.3619, 0.9060)  2 N 1.88
As (0.6381, 0.6381, 0.0940)  2 N 1.88
N (0.0578, 0.0578, 0.1712)  2 As 1.88
N (0.9422, 0.9422, 0.8288)  2 As 1.88

=====

2.
VASP calculation (PBE) on a geometry-optimized Pr6Nd3Er2Tm structure.

Values from the calculation:
Energy of formation   0.016 eV/atom
Space-group type   C2/m
D(E_F)   1.25 states/eV/atom

Lattice parameters (Å, degrees): 6.3488 6.3488 12.0116 95.05 95.05 120.02
With the nearest neighbours (Å) after each atom.
Element x y z (fractional)
Pr (0.0846, 0.4178, 0.7554)  2 Er 3.58-3.59, 1 Tm 3.58, 6 Pr 3.66-3.67, 3 Nd 3.69
Pr (0.2490, 0.2490, 0.2448)  1 Tm 3.58, 2 Er 3.59, 6 Pr 3.66-3.67, 3 Nd 3.68-3.69
Pr (0.4178, 0.0846, 0.7554)  2 Er 3.58-3.59, 1 Tm 3.58, 6 Pr 3.66-3.67, 3 Nd 3.69
Pr (0.5822, 0.9154, 0.2446)  2 Er 3.58-3.59, 1 Tm 3.58, 6 Pr 3.66-3.67, 3 Nd 3.69
Pr (0.7510, 0.7510, 0.7552)  1 Tm 3.58, 2 Er 3.59, 6 Pr 3.66-3.67, 3 Nd 3.68-3.69
Pr (0.9154, 0.5822, 0.2446)  2 Er 3.58-3.59, 1 Tm 3.58, 6 Pr 3.66-3.67, 3 Nd 3.69
Nd (0.0000, 0.0000, 0.5000)  6 Nd 3.66-3.67, 6 Pr 3.69
Nd (0.3332, 0.6668, 0.5000)  6 Nd 3.66-3.67, 6 Pr 3.68-3.69
Nd (0.6668, 0.3332, 0.5000)  6 Nd 3.66-3.67, 6 Pr 3.68-3.69
Er (0.1667, 0.8333, 0.0000)  6 Pr 3.58-3.59, 3 Er 3.66-3.67, 3 Tm 3.66-3.67
Er (0.8333, 0.1667, 0.0000)  6 Pr 3.58-3.59, 3 Er 3.66-3.67, 3 Tm 3.66-3.67
Tm (0.5000, 0.5000, 0.0000)  6 Pr 3.58, 6 Er 3.66-3.67

=====

3.
VASP calculation (PBE) on a geometry-optimized YScRu4 structure.

Values from the calculation:
Energy of formation   -0.307 eV/atom
Space-group type   F-43m
D(E_F)   1.08 states/eV/atom

Lattice parameters (Å, degrees): 5.2709 5.2709 5.2709 60.00 60.00 60.00
With the nearest neighbours (Å) after each atom.
Element x y z (fractional)
Y (0.0000, 0.0000, 0.0000)  12 Ru 3.09, 4 Sc 3.23
Sc (0.2500, 0.2500, 0.2500)  12 Ru 3.09, 4 Y 3.23
Ru (0.1260, 0.6247, 0.6247)  6 Ru 2.63-2.64
Ru (0.6247, 0.1260, 0.6247)  6 Ru 2.63-2.64
Ru (0.6247, 0.6247, 0.1260)  6 Ru 2.63-2.64
Ru (0.6247, 0.6247, 0.6247)  6 Ru 2.63-2.64

=====

4.
VASP calculation (PBE) on a geometry-optimized ScTa4Rh structure.

Values from the calculation:
Energy of formation   0.166 eV/atom
Space-group type   F-43m
D(E_F)   0.89 states/eV/atom

Lattice parameters (Å, degrees): 5.4518 5.4518 5.4518 60.00 60.00 60.00
With the nearest neighbours (Å) after each atom.
Element x y z (fractional)
Sc (0.0000, 0.0000, 0.0000)  12 Ta 3.19, 4 Rh 3.34
Ta (0.1227, 0.6258, 0.6258)  6 Ta 2.71-2.74
Ta (0.6258, 0.1227, 0.6258)  6 Ta 2.71-2.74
Ta (0.6258, 0.6258, 0.1227)  6 Ta 2.71-2.74
Ta (0.6258, 0.6258, 0.6258)  6 Ta 2.71-2.74
Rh (0.2500, 0.2500, 0.2500)  12 Ta 3.20, 4 Sc 3.34

=====

5.
VASP calculation (PBE) on a geometry-optimized Ca3Y structure.

Values from the calculation:
Excess energy over the best structure of this formula in the dataset   58.0 meV/atom
Energy of formation   0.087 eV/atom
Space-group type   Cmmm
D(E_F)   1.62 states/eV/atom

Lattice parameters (Å, degrees): 3.6571 3.6571 12.5052 90.00 90.00 112.59
With the nearest neighbours (Å) after each atom.
Element x y z (fractional)
Ca (0.0000, 0.0000, 0.0000)  10 Ca 3.66-4.06
Ca (0.5000, 0.5000, 0.2601)  2 Y 3.62, 6 Ca 3.66-3.83
Ca (0.5000, 0.5000, 0.7399)  2 Y 3.62, 6 Ca 3.66-3.83
Y (0.0000, 0.0000, 0.5000)  4 Ca 3.62, 4 Y 3.66

=====

6.
VASP calculation (PBE) on a geometry-optimized Li5B8C8 structure.

Values from the calculation:
Excess energy over the best structure of this formula in the dataset   27.2 meV/atom
Energy of formation   -0.118 eV/atom
Space-group type   P2/m
D(E_F)   0.17 states/eV/atom

Lattice parameters (Å, degrees): 7.2182 2.7278 9.3954 90.00 90.64 90.00
With the nearest neighbours (Å) after each atom.
Element x y z (fractional)
Li (0.0000, 0.0000, 0.0000)  6 C 2.32-2.39, 6 B 2.37-2.40
Li (0.0000, 0.0000, 0.5000)  6 C 2.33, 6 B 2.36-2.38
Li (0.0022, 0.5000, 0.2488)  6 C 2.34-2.36, 6 B 2.35-2.40
Li (0.5000, 0.0000, 0.0000)  6 B 2.41-2.42, 6 C 2.42
Li (0.9978, 0.5000, 0.7512)  6 C 2.34-2.36, 6 B 2.35-2.40
B (0.2439, 0.5000, 0.9168)  3 C 1.56-1.59
B (0.2466, 0.0000, 0.6674)  3 C 1.56-1.59
B (0.2466, 0.5000, 0.4177)  3 C 1.56-1.59
B (0.2516, 0.0000, 0.1695)  3 C 1.57-1.58
B (0.7484, 0.0000, 0.8305)  3 C 1.57-1.58
B (0.7534, 0.0000, 0.3326)  3 C 1.56-1.59
B (0.7534, 0.5000, 0.5823)  3 C 1.56-1.59
B (0.7561, 0.5000, 0.0832)  3 C 1.56-1.59
C (0.2381, 0.5000, 0.5867)  3 B 1.56-1.59
C (0.2389, 0.0000, 0.8362)  3 B 1.56-1.59
C (0.2402, 0.0000, 0.3369)  3 B 1.56-1.58
C (0.2482, 0.5000, 0.0862)  3 B 1.57-1.59
C (0.7518, 0.5000, 0.9138)  3 B 1.57-1.59
C (0.7598, 0.0000, 0.6631)  3 B 1.56-1.58
C (0.7611, 0.0000, 0.1638)  3 B 1.56-1.59
C (0.7619, 0.5000, 0.4133)  3 B 1.56-1.59

=====

7.
VASP calculation (PBE) on a geometry-optimized Pr2DyNi structure.

Values from the calculation:
Excess energy over the best structure of this formula in the dataset   0.0 meV/atom
Energy of formation   -0.129 eV/atom
Space-group type   Cm
D(E_F)   1.13 states/eV/atom

Lattice parameters (Å, degrees): 3.5195 3.5195 8.9856 90.10 90.10 90.37
With the nearest neighbours (Å) after each atom.
Element x y z (fractional)
Pr (0.0000, 0.0000, 0.0000)  8 Pr 3.52-3.83, 4 Dy 3.73-3.75
Pr (0.5006, 0.5006, 0.3236)  4 Ni 3.06-3.08, 1 Dy 3.28
Dy (0.4991, 0.4991, 0.6891)  4 Ni 2.88-2.90
Ni (0.9991, 0.9991, 0.5252)  4 Dy 2.88-2.90, 4 Pr 3.06-3.08

=====

8.
VASP calculation (PBE) on a geometry-optimized Y2ScRe structure.

Values from the calculation:
Excess energy over the best structure of this formula in the dataset   0.0 meV/atom
Energy of formation   0.104 eV/atom
Space-group type   P4mm
D(E_F)   1.43 states/eV/atom

Lattice parameters (Å, degrees): 3.3839 3.3839 8.7575 90.00 90.00 90.00
With the nearest neighbours (Å) after each atom.
Element x y z (fractional)
Y (0.0000, 0.0000, 0.0000)  4 Y 3.38, 4 Sc 3.54
Y (0.5000, 0.5000, 0.3377)  4 Re 2.97, 1 Sc 3.20
Sc (0.5000, 0.5000, 0.7028)  4 Re 2.79
Re (0.0000, 0.0000, 0.5386)  4 Sc 2.79, 4 Y 2.97